Entry from the Alexandria database: Na2V6O13 after structural relaxation (PBE+U). Values from VASP.

Structure (Quantum ESPRESSO input):
```
&SYSTEM
  ibrav = 0, nat = 21, ntyp = 3
/
ATOMIC_SPECIES
O 16.00 O.upf
V 50.94 V.upf
Na 22.99 Na.upf
ATOMIC_POSITIONS crystal
O 0.432 0.432 0.925
O 0.568 0.568 0.075
O 0.246 0.246 0.091
O 0.183 0.183 0.497
O 0.393 0.393 0.299
O 0.754 0.754 0.909
O 0.817 0.817 0.503
O 0.607 0.607 0.701
O 0.500 0.500 0.500
O 0.667 0.667 0.286
O 0.883 0.883 0.121
O 0.333 0.333 0.714
O 0.117 0.117 0.879
V 0.649 0.649 0.542
V 0.287 0.287 0.867
V 0.713 0.713 0.133
V 0.410 0.410 0.108
V 0.590 0.590 0.892
V 0.351 0.351 0.458
Na 0.049 0.049 0.341
Na 0.951 0.951 0.659
CELL_PARAMETERS angstrom
1.096 -6.262 0.420
2.407 -5.121 -2.927
10.082 0.334 4.063
```

Properties
For the total energy, the calculation gives -7.2864 eV/atom. As for the crystal system: monoclinic.